(1)
DFT (PBE-GGA) results for Al3Re2 after structural relaxation.

For the formation energy from the elements, the calculation gives -0.061 eV per atom. The value obtained for the total magnetization is 0.00 Bohr magnetons per cell. The value obtained for the calculated total energy is -291.42 eV/cell. The value obtained for the calculated volume is 14.702 A^3/atom.

The space group is Fdd2 (No. 43) and the conventional cell measures 9.1175, 13.3512 and 4.8311 Å, with angles of 90.00, 90.00 and 90.00 degrees. The asymmetric unit holds Al at (0.0000, 0.0000, 0.0000), Al at (0.0351, 0.3968, 0.0165) and Re at (0.0209, 0.3007, 0.5366).

(2)
DFT (PBE-GGA) results for AlRe after structural relaxation.

For the formation energy from the elements, the calculation gives -0.069 eV per atom. The value obtained for the total magnetization is 0.00 Bohr magnetons per cell. The value obtained for the calculated total energy is -32.66 eV/cell. The value obtained for the calculated volume is 14.507 A^3/atom.

The space group is Pmma (No. 51) and the conventional cell measures 4.3353, 2.9562 and 4.5278 Å, with angles of 90.00, 90.00 and 90.00 degrees. The asymmetric unit holds Al at (0.2500, 0.0000, 0.1810) and Re at (0.2500, 0.5000, 0.6773).

(3)
DFT (PBE-GGA) results for Al2Re after structural relaxation.

For the formation energy from the elements, the calculation gives 0.096 eV per atom. The value obtained for the total magnetization is 0.00 Bohr magnetons per cell. The value obtained for the calculated total energy is -39.29 eV/cell. The value obtained for the calculated volume is 14.767 A^3/atom.

The space group is P6_3/mmc (No. 194) and the conventional cell measures 4.4237, 4.4237 and 5.2281 Å, with angles of 90.00, 90.00 and 120.00 degrees. The asymmetric unit holds Al at (0.0000, 0.0000, 0.0000), Al at (0.3333, 0.6667, 0.2500) and Re at (0.3333, 0.6667, 0.7500).

(4)
DFT (PBE-GGA) results for Al3Re2 after structural relaxation.

For the formation energy from the elements, the calculation gives -0.023 eV per atom. The value obtained for the total magnetization is 0.00 Bohr magnetons per cell. The value obtained for the calculated total energy is -36.24 eV/cell. The value obtained for the calculated volume is 16.960 A^3/atom.

The space group is P-3m1 (No. 164) and the conventional cell measures 4.3699, 4.3699 and 5.1279 Å, with angles of 90.00, 90.00 and 120.00 degrees. The asymmetric unit holds Al at (0.0000, 0.0000, 0.0000), Al at (0.3333, 0.6667, 0.3953) and Re at (0.3333, 0.6667, 0.8985).

(5)
DFT (PBE-GGA) results for Al4Re3 after structural relaxation.

For the formation energy from the elements, the calculation gives -0.049 eV per atom. Its relative energy among the computed polymorphs is 241 meV per atom. The value obtained for the total magnetization is 0.00 Bohr magnetons per cell. The value obtained for the calculated total energy is -52.65 eV/cell. The value obtained for the calculated volume is 15.961 A^3/atom.

The space group is P6/mmm (No. 191) and the conventional cell measures 5.1975, 5.1975 and 4.7757 Å, with angles of 90.00, 90.00 and 120.00 degrees. The asymmetric unit holds Al at (0.0000, 0.0000, 0.2484), Al at (0.3333, 0.6667, 0.0000) and Re at (0.0000, 0.5000, 0.5000).

(6)
DFT (PBE-GGA) results for AlRe after structural relaxation.

For the formation energy from the elements, the calculation gives 0.432 eV per atom. The value obtained for the total magnetization is 0.00 Bohr magnetons per cell. The value obtained for the calculated total energy is -122.62 eV/cell. The value obtained for the calculated volume is 18.776 A^3/atom.

The space group is P4/mcc (No. 124) and the conventional cell measures 8.1974, 8.1974 and 4.4707 Å, with angles of 90.00, 90.00 and 90.00 degrees. The asymmetric unit holds Al at (0.1177, 0.2364, 0.0000) and Re at (0.1341, 0.4212, 0.5000).

(7)
DFT (PBE-GGA) results for AlRe after structural relaxation.

For the formation energy from the elements, the calculation gives 1.139 eV per atom. The value obtained for the total magnetization is 0.00 Bohr magnetons per cell. The value obtained for the calculated total energy is -27.82 eV/cell. The value obtained for the calculated volume is 19.679 A^3/atom.

The space group is P6_3/mmc (No. 194) and the conventional cell measures 4.3049, 4.3049 and 4.9046 Å, with angles of 90.00, 90.00 and 120.00 degrees. The asymmetric unit holds Al at (0.3333, 0.6667, 0.2500) and Re at (0.3333, 0.6667, 0.7500).

(8)
DFT (PBE-GGA) results for AlRe4 after structural relaxation.

For the formation energy from the elements, the calculation gives 0.500 eV per atom. Its relative energy among the computed polymorphs is 475 meV per atom. The value obtained for the total magnetization is 0.00 Bohr magnetons per cell. The value obtained for the calculated total energy is -102.07 eV/cell. The value obtained for the calculated volume is 18.092 A^3/atom.

The space group is I4/mmm (No. 139) and the conventional cell measures 4.0439, 4.0439 and 11.0633 Å, with angles of 90.00, 90.00 and 90.00 degrees. The asymmetric unit holds Al at (0.0000, 0.0000, 0.0000), Re at (0.0000, 0.0000, 0.3868) and Re at (0.0000, 0.5000, 0.2500).

(9)
DFT (PBE-GGA) results for AlRe after structural relaxation.

For the formation energy from the elements, the calculation gives 0.617 eV per atom. The value obtained for the total magnetization is 0.00 Bohr magnetons per cell. The value obtained for the calculated total energy is -29.92 eV/cell. The value obtained for the calculated volume is 17.844 A^3/atom.

The space group is P6_3/mmc (No. 194) and the conventional cell measures 4.0505, 4.0505 and 5.0236 Å, with angles of 90.00, 90.00 and 120.00 degrees. The asymmetric unit holds Al at (0.3333, 0.6667, 0.2500) and Re at (0.0000, 0.0000, 0.0000).

(10)
DFT (PBE-GGA) results for Al2Re after structural relaxation.

For the formation energy from the elements, the calculation gives -0.142 eV per atom. The value obtained for the total magnetization is 0.00 Bohr magnetons per cell. The value obtained for the calculated total energy is -81.43 eV/cell. The value obtained for the calculated volume is 14.841 A^3/atom.

The space group is Cm (No. 8) and the conventional cell measures 9.6519, 2.9756 and 6.3605 Å, with angles of 90.00, 102.86 and 90.00 degrees. The asymmetric unit holds Al at (0.0000, 0.0000, 0.0000), Al at (0.0486, 0.0000, 0.5903), Al at (0.2178, 0.5000, 0.9230), Al at (0.3758, 0.0000, 0.2735), Re at (0.1601, 0.5000, 0.3181) and Re at (0.3315, 0.0000, 0.6656).

(11)
DFT (PBE-GGA) results for Al2Re after structural relaxation.

For the formation energy from the elements, the calculation gives -0.256 eV per atom. The value obtained for the total magnetization is 0.00 Bohr magnetons per cell. The value obtained for the calculated total energy is -82.81 eV/cell. The value obtained for the calculated volume is 14.569 A^3/atom.

The space group is Pnma (No. 62) and the conventional cell measures 5.1601, 4.1438 and 8.1764 Å, with angles of 90.00, 90.00 and 90.00 degrees. The asymmetric unit holds Al at (0.1370, 0.2500, 0.1983), Al at (0.1450, 0.2500, 0.5430) and Re at (0.1491, 0.2500, 0.8722).

(12)
DFT (PBE-GGA) results for Al3Re2 after structural relaxation.

For the formation energy from the elements, the calculation gives -0.030 eV per atom. The value obtained for the total magnetization is 0.00 Bohr magnetons per cell. The value obtained for the calculated total energy is -108.82 eV/cell. The value obtained for the calculated volume is 15.005 A^3/atom.

The space group is R-3m (No. 166, hexagonal axes) and the conventional cell measures 2.8332, 2.8332 and 32.3764 Å, with angles of 90.00, 90.00 and 120.00 degrees. The asymmetric unit holds Al at (0.0000, 0.0000, 0.0000), Al at (0.0000, 0.0000, 0.2011) and Re at (0.0000, 0.0000, 0.3999).

(13)
DFT (PBE-GGA) results for Al13Re2 after structural relaxation.

For the formation energy from the elements, the calculation gives -0.130 eV per atom. The value obtained for the total magnetization is 0.00 Bohr magnetons per cell. The value obtained for the calculated total energy is -75.50 eV/cell. The value obtained for the calculated volume is 16.339 A^3/atom.

The space group is P-1 (No. 2) and the conventional cell measures 5.2631, 6.8646 and 7.0436 Å, with angles of 77.68, 89.30 and 80.42 degrees. The asymmetric unit holds Al at (0.0000, 0.0000, 0.0000), Al at (0.0109, 0.4050, 0.3491), Al at (0.2026, 0.9694, 0.6073), Al at (0.2422, 0.6096, 0.0006), Al at (0.3276, 0.2509, 0.8091), Al at (0.3354, 0.1234, 0.1977), Al at (0.4985, 0.6053, 0.6327) and Re at (0.1842, 0.7579, 0.3232).

(14)
DFT (PBE-GGA) results for AlRe after structural relaxation.

For the formation energy from the elements, the calculation gives -0.141 eV per atom. The value obtained for the total magnetization is 0.00 Bohr magnetons per cell. The value obtained for the calculated total energy is -65.89 eV/cell. The value obtained for the calculated volume is 14.689 A^3/atom.

The space group is C2/m (No. 12) and the conventional cell measures 9.3792, 2.9746 and 4.4261 Å, with angles of 90.00, 107.89 and 90.00 degrees. The asymmetric unit holds Al at (0.1141, 0.0000, 0.3500) and Re at (0.1328, 0.5000, 0.8601).

(15)
DFT (PBE-GGA) results for AlRe after structural relaxation.

For the formation energy from the elements, the calculation gives -0.093 eV per atom. The value obtained for the total magnetization is 0.00 Bohr magnetons per cell. The value obtained for the calculated total energy is -65.50 eV/cell. The value obtained for the calculated volume is 14.626 A^3/atom.

The space group is I4_1/amd (No. 141, origin choice 2) and the conventional cell measures 4.0232, 4.0232 and 7.2289 Å, with angles of 90.00, 90.00 and 90.00 degrees. The asymmetric unit holds Al at (0.0000, 0.2500, 0.3750) and Re at (0.0000, 0.2500, 0.8750).

(16)
DFT (PBE-GGA) results for Al2Re after structural relaxation.

For the formation energy from the elements, the calculation gives -0.217 eV per atom. The value obtained for the total magnetization is 0.00 Bohr magnetons per cell. The value obtained for the calculated total energy is -82.34 eV/cell. The value obtained for the calculated volume is 14.948 A^3/atom.

The space group is C2/m (No. 12) and the conventional cell measures 9.4616, 3.0679 and 6.4701 Å, with angles of 90.00, 107.23 and 90.00 degrees. The asymmetric unit holds Al at (0.0297, 0.0000, 0.3131), Al at (0.1529, 0.5000, 0.0513) and Re at (0.1863, 0.5000, 0.6411).

(17)
DFT (PBE-GGA) results for AlRe after structural relaxation.

For the formation energy from the elements, the calculation gives -0.177 eV per atom. The value obtained for the total magnetization is 0.00 Bohr magnetons per cell. The value obtained for the calculated total energy is -99.27 eV/cell. The value obtained for the calculated volume is 15.213 A^3/atom.

The space group is R-3m (No. 166, hexagonal axes) and the conventional cell measures 2.8355, 2.8355 and 26.2190 Å, with angles of 90.00, 90.00 and 120.00 degrees. The asymmetric unit holds Al at (0.0000, 0.0000, 0.1227) and Re at (0.0000, 0.0000, 0.3731).

(18)
DFT (PBE-GGA) results for AlRe after structural relaxation.

For the formation energy from the elements, the calculation gives -0.181 eV per atom. The value obtained for the total magnetization is 0.00 Bohr magnetons per cell. The value obtained for the calculated total energy is -99.31 eV/cell. The value obtained for the calculated volume is 14.489 A^3/atom.

The space group is C2/m (No. 12) and the conventional cell measures 10.1261, 3.0818 and 5.8786 Å, with angles of 90.00, 108.60 and 90.00 degrees. The asymmetric unit holds Al at (0.0000, 0.0000, 0.0000), Al at (0.1621, 0.5000, 0.8291), Re at (0.0000, 0.0000, 0.5000) and Re at (0.1740, 0.5000, 0.3237).

(19)
DFT (PBE-GGA) results for Al2Re after structural relaxation.

For the formation energy from the elements, the calculation gives -0.121 eV per atom. The value obtained for the total magnetization is 0.00 Bohr magnetons per cell. The value obtained for the calculated total energy is -20.30 eV/cell. The value obtained for the calculated volume is 14.627 A^3/atom.

The space group is P-3m1 (No. 164) and the conventional cell measures 4.3550, 4.3550 and 2.6716 Å, with angles of 90.00, 90.00 and 120.00 degrees. The asymmetric unit holds Al at (0.3333, 0.6667, 0.3416) and Re at (0.0000, 0.0000, 0.0000).

(20)
DFT (PBE-GGA) results for Al4Re3 after structural relaxation.

For the formation energy from the elements, the calculation gives -0.289 eV per atom. Its relative energy among the computed polymorphs is 0 meV per atom. The value obtained for the total magnetization is 0.00 Bohr magnetons per cell. The value obtained for the calculated total energy is -108.68 eV/cell. The value obtained for the calculated volume is 14.453 A^3/atom.

The space group is I4/mmm (No. 139) and the conventional cell measures 3.1573, 3.1573 and 20.2975 Å, with angles of 90.00, 90.00 and 90.00 degrees. The asymmetric unit holds Al at (0.0000, 0.0000, 0.0670), Al at (0.0000, 0.0000, 0.3599), Re at (0.0000, 0.0000, 0.2123) and Re at (0.0000, 0.0000, 0.5000).